# 1
The following is a DFT calculation (GGA-PBE) of GdErHg2 after structural relaxation.

Summary:
Density (Mg/m³): 11.7
Energy relative to the elements (kcal/mol of atoms): -11.41
Uncorrected energy (eV per atom): -5.31
Energy above the most stable polymorph in this dataset (meV/atom): 0
Total moment (μB per formula unit): 7.6

Lattice parameters (Å, degrees): 3.6987 3.6987 7.5277 90.00 90.00 90.00
Last column: nearest neighbours and their distance in Å.
Sites, in units of the cell vectors:
Er 0.5000 0.5000 0.5000  8 Hg 3.17
Gd 0.5000 0.5000 0.0000  8 Hg 3.27
Hg 0.0000 0.0000 0.7387  4 Er 3.17, 4 Gd 3.27
Hg 0.0000 0.0000 0.2613  4 Er 3.17, 4 Gd 3.27

# 2
The following is a DFT calculation (GGA-PBE) of BeCdPt3 after structural relaxation.

Summary:
Density (Mg/m³): 11.0
Energy relative to the elements (kcal/mol of atoms): -0.54
Uncorrected energy (eV per atom): -4.58
Energy above the most stable polymorph in this dataset (meV/atom): 415
Total moment (μB per formula unit): 0.0

Lattice parameters (Å, degrees): 2.8077 7.2204 7.2204 133.11 90.00 90.00
Last column: nearest neighbours and their distance in Å.
Sites, in units of the cell vectors:
Cd 0.5000 0.0890 0.9110  4 Pt 2.73-2.78, 2 Cd 2.81
Pt 0.5000 0.6735 0.8632  2 Be 2.22
Be 0.0000 0.4627 0.5373  4 Pt 2.22
Pt 0.0000 0.2661 0.7339  1 Be 2.61, 2 Cd 2.73, 6 Pt 2.78-2.81
Pt 0.5000 0.1368 0.3265  2 Be 2.22

# 3
The following is a DFT calculation (GGA-PBE) of Zn2GaB2Rh5 after structural relaxation.

Summary:
Density (Mg/m³): 9.6
Energy relative to the elements (kcal/mol of atoms): -10.94
Uncorrected energy (eV per atom): -6.04
Total moment (μB per formula unit): 0.0

Lattice parameters (Å, degrees): 2.8848 9.3847 9.3847 90.00 90.00 90.00
Last column: nearest neighbours and their distance in Å.
Sites, in units of the cell vectors:
B 0.0000 0.3727 0.1273  6 Rh 2.13-2.22
Rh 0.5000 0.5000 0.0000  4 B 2.22
Rh 0.5000 0.7860 0.9269  2 B 2.13
Rh 0.5000 0.7140 0.4269  2 B 2.13
Rh 0.5000 0.2140 0.0731  2 B 2.13
Rh 0.5000 0.0731 0.7860  2 B 2.13
Rh 0.5000 0.2860 0.5731  2 B 2.13
Rh 0.5000 0.0000 0.5000  4 B 2.22
Rh 0.5000 0.9269 0.2140  2 B 2.13
Rh 0.5000 0.5731 0.7140  2 B 2.13
Zn 0.0000 0.3240 0.8240  3 B 2.61-2.88, 6 Rh 2.75-2.78, 2 Zn 2.88
Ga 0.0000 0.0000 0.0000  8 Rh 2.57
Zn 0.0000 0.1760 0.3240  3 B 2.61-2.88, 6 Rh 2.75-2.78, 2 Zn 2.88
B 0.0000 0.1273 0.6273  6 Rh 2.13-2.22
Zn 0.0000 0.8240 0.6760  3 B 2.61-2.88, 6 Rh 2.75-2.78, 2 Zn 2.88
B 0.0000 0.6273 0.8727  6 Rh 2.13-2.22
B 0.0000 0.8727 0.3727  6 Rh 2.13-2.22
Zn 0.0000 0.6760 0.1760  3 B 2.61-2.88, 6 Rh 2.75-2.78, 2 Zn 2.88
Ga 0.0000 0.5000 0.5000  8 Rh 2.57
Rh 0.5000 0.4269 0.2860  2 B 2.13

Copy entry 2 word for word.
The following is a DFT calculation (GGA-PBE) of BeCdPt3 after structural relaxation.

Summary:
Density (Mg/m³): 11.0
Energy relative to the elements (kcal/mol of atoms): -0.54
Uncorrected energy (eV per atom): -4.58
Energy above the most stable polymorph in this dataset (meV/atom): 415
Total moment (μB per formula unit): 0.0

Lattice parameters (Å, degrees): 2.8077 7.2204 7.2204 133.11 90.00 90.00
Last column: nearest neighbours and their distance in Å.
Sites, in units of the cell vectors:
Cd 0.5000 0.0890 0.9110  4 Pt 2.73-2.78, 2 Cd 2.81
Pt 0.5000 0.6735 0.8632  2 Be 2.22
Be 0.0000 0.4627 0.5373  4 Pt 2.22
Pt 0.0000 0.2661 0.7339  1 Be 2.61, 2 Cd 2.73, 6 Pt 2.78-2.81
Pt 0.5000 0.1368 0.3265  2 Be 2.22

- Which value of energy relative to the elements does entry 1 give?
  -11.41 kcal/mol of atoms